Entry 1:
Entry from Alexandria: a geometry-optimized PmPrTmMg structure (PBE).

a = 7.905 Å, b = 7.905 Å, c = 7.905 Å
α = 90.00°, β = 90.00°, γ = 90.00°
Space group F-43m (No. 216)
Unique sites:
Pm: 0.000 0.000 0.000 x4
Pr: 0.000 0.000 0.500 x4
Tm: 0.250 0.250 0.750 x4
Mg: 0.250 0.250 0.250 x4

Results
energy of formation	3	kJ/mol of formula units
relative energy among the computed polymorphs	36	meV/atom

***

Entry 2:
Entry from Alexandria: a geometry-optimized PmPr4Tm2Mg structure (PBE).

a = 5.130 Å, b = 5.130 Å, c = 9.962 Å
α = 90.00°, β = 90.00°, γ = 90.00°
Space group P4/mmm (No. 123)
Unique sites:
Pm: 0.000 0.000 0.000 x1
Pr: 0.000 0.500 0.257 x4
Tm: 0.000 0.000 0.500 x1
Tm: 0.500 0.500 0.000 x1
Mg: 0.500 0.500 0.500 x1

Results
energy of formation	3	kJ/mol of formula units

***

Entry 3:
Entry from Alexandria: a geometry-optimized Pm2Pr6Tm3Mg structure (PBE).

a = 6.264 Å, b = 10.858 Å, c = 11.883 Å
α = 90.00°, β = 100.16°, γ = 90.00°
Space group C2/m (No. 12)
Unique sites:
Pm: 0.000 0.167 0.000 x4
Pr: 0.247 0.500 0.746 x4
Pr: 0.249 0.335 0.253 x8
Tm: 0.000 0.000 0.500 x2
Tm: 0.000 0.334 0.500 x4
Mg: 0.000 0.500 0.000 x2

Results
energy of formation	16	kJ/mol of formula units

***

Entry 4:
Entry from Alexandria: a geometry-optimized PmPrTm2Mg structure (PBE).

a = 11.144 Å, b = 4.964 Å, c = 11.140 Å
α = 90.00°, β = 90.44°, γ = 90.00°
Space group C2/m (No. 12)
Unique sites:
Pm: 0.246 0.000 0.244 x4
Pr: 0.047 0.500 0.348 x4
Tm: 0.148 0.500 0.047 x4
Tm: 0.155 0.000 0.550 x4
Mg: 0.054 0.000 0.861 x4

Results
energy of formation	15	kJ/mol of formula units

***

Entry 5:
Entry from Alexandria: a geometry-optimized Pm6Pr2Tm3Mg structure (PBE).

a = 6.216 Å, b = 10.776 Å, c = 11.852 Å
α = 90.00°, β = 100.13°, γ = 90.00°
Space group C2/m (No. 12)
Unique sites:
Pm: 0.247 0.000 0.245 x4
Pm: 0.249 0.165 0.754 x8
Pr: 0.000 0.333 0.500 x4
Tm: 0.000 0.166 0.000 x4
Tm: 0.000 0.500 0.000 x2
Mg: 0.000 0.000 0.500 x2

Results
energy of formation	14	kJ/mol of formula units

***

Entry 6:
Entry from Alexandria: a geometry-optimized Pm2Pr6TmMg structure (PBE).

a = 9.408 Å, b = 14.899 Å, c = 9.978 Å
α = 90.00°, β = 100.86°, γ = 90.00°
Space group C2/c (No. 15)
Unique sites:
Pm: 0.241 0.045 0.054 x8
Pr: 0.064 0.185 0.450 x8
Pr: 0.104 0.405 0.613 x8
Pr: 0.212 0.214 0.807 x8
Tm: 0.000 0.015 0.750 x4
Mg: 0.000 0.404 0.250 x4

Results
energy of formation	102	kJ/mol of formula units

***

Entry 7:
Entry from Alexandria: a geometry-optimized Pm2Pr2Tm2Mg structure (PBE).

a = 12.316 Å, b = 3.707 Å, c = 11.711 Å
α = 90.00°, β = 120.07°, γ = 90.00°
Space group C2/m (No. 12)
Unique sites:
Pm: 0.181 0.000 0.090 x4
Pr: 0.025 0.000 0.742 x4
Tm: 0.242 0.000 0.619 x4
Mg: 0.000 0.500 0.500 x2

Results
energy of formation	54	kJ/mol of formula units

***

Entry 8:
Entry from Alexandria: a geometry-optimized PmPr2TmMg structure (PBE).

a = 5.904 Å, b = 7.357 Å, c = 7.603 Å
α = 90.00°, β = 90.00°, γ = 90.00°
Space group Pmma (No. 51)
Unique sites:
Pm: 0.250 0.000 0.147 x2
Pr: 0.250 0.221 0.685 x4
Tm: 0.250 0.500 0.362 x2
Mg: 0.000 0.500 0.000 x2

Results
energy of formation	73	kJ/mol of formula units